No. 1
# InCu2 (meta-GGA SCAN, PBEsol geometry)
data_InCu2
_space_group_name_H-M_alt 'F m -3 m'
_space_group_IT_number 225
_space_group_name_Hall '-F 4 2 3'
_cell_length_a 5.950
_cell_length_b 5.950
_cell_length_c 5.950
_cell_angle_alpha 90.00
_cell_angle_beta 90.00
_cell_angle_gamma 90.00
loop_
_atom_site_label
_atom_site_type_symbol
_atom_site_fract_x
_atom_site_fract_y
_atom_site_fract_z
In1 In 0.000 0.000 0.000
Cu1 Cu 0.250 0.250 0.250
# Size of the total moment in μB/cell: 0.000
# Energy relative to the elements in kJ/mol of atoms: 37.32
# VASP energy in eV/atom: -20.875

---

No. 2
# InCu5 (meta-GGA SCAN, PBEsol geometry)
data_InCu5
_space_group_name_H-M_alt 'A m m 2'
_space_group_IT_number 38
_space_group_name_Hall 'A 2 -2'
_cell_length_a 4.233
_cell_length_b 2.721
_cell_length_c 13.457
_cell_angle_alpha 90.00
_cell_angle_beta 90.00
_cell_angle_gamma 90.00
loop_
_atom_site_label
_atom_site_type_symbol
_atom_site_fract_x
_atom_site_fract_y
_atom_site_fract_z
In1 In 0.000 0.000 0.000
Cu1 Cu 0.000 0.000 0.327
Cu2 Cu 0.000 0.000 0.676
Cu3 Cu 0.500 0.000 0.219
Cu4 Cu 0.500 0.000 0.562
Cu5 Cu 0.500 0.000 0.876
# Size of the total moment in μB/cell: 0.000
# Energy relative to the elements in kJ/mol of atoms: 8.63
# VASP energy in eV/atom: -18.141

---

No. 3
# In7Cu (meta-GGA SCAN, PBEsol geometry)
data_In7Cu
_space_group_name_H-M_alt 'F m -3 m'
_space_group_IT_number 225
_space_group_name_Hall '-F 4 2 3'
_cell_length_a 9.101
_cell_length_b 9.101
_cell_length_c 9.101
_cell_angle_alpha 90.00
_cell_angle_beta 90.00
_cell_angle_gamma 90.00
loop_
_atom_site_label
_atom_site_type_symbol
_atom_site_fract_x
_atom_site_fract_y
_atom_site_fract_z
In1 In 0.000 0.000 0.000
In2 In 0.000 0.250 0.250
Cu1 Cu 0.000 0.000 0.500
# Size of the total moment in μB/cell: 0.000
# Energy relative to the elements in kJ/mol of atoms: 17.43
# VASP energy in eV/atom: -30.932

---

No. 4
# InCu (meta-GGA SCAN, PBEsol geometry)
data_InCu
_space_group_name_H-M_alt 'P 63/m m c'
_space_group_IT_number 194
_space_group_name_Hall '-P 6c 2c'
_cell_length_a 4.1644
_cell_length_b 4.1644
_cell_length_c 4.8617
_cell_angle_alpha 90.00
_cell_angle_beta 90.00
_cell_angle_gamma 120.00
loop_
_atom_site_label
_atom_site_type_symbol
_atom_site_fract_x
_atom_site_fract_y
_atom_site_fract_z
In1 In 0.3333 0.6667 0.2500
Cu1 Cu 0.0000 0.0000 0.0000
# Size of the total moment in μB/cell: 0.000
# Energy relative to the elements in kJ/mol of atoms: 4.07
# VASP energy in eV/atom: -24.251

---

No. 5
# In2Cu (meta-GGA SCAN, PBEsol geometry)
data_In2Cu
_space_group_name_H-M_alt 'C 1 2/m 1'
_space_group_IT_number 12
_space_group_name_Hall '-C 2y'
_cell_length_a 13.763
_cell_length_b 3.124
_cell_length_c 6.067
_cell_angle_alpha 90.00
_cell_angle_beta 115.98
_cell_angle_gamma 90.00
loop_
_atom_site_label
_atom_site_type_symbol
_atom_site_fract_x
_atom_site_fract_y
_atom_site_fract_z
In1 In 0.136 0.000 0.135
In2 In 0.146 0.000 0.645
Cu1 Cu 0.000 0.500 0.265
# Size of the total moment in μB/cell: 0.000
# Energy relative to the elements in kJ/mol of atoms: 6.30
# VASP energy in eV/atom: -27.259

---

No. 6
# In6Cu7 (meta-GGA SCAN, PBEsol geometry)
data_In6Cu7
_space_group_name_H-M_alt 'R -3 m'
_space_group_IT_number 166
_space_group_name_Hall '-R 3 2"'
_cell_length_a 5.1715
_cell_length_b 5.1715
_cell_length_c 27.1039
_cell_angle_alpha 90.00
_cell_angle_beta 90.00
_cell_angle_gamma 120.00
loop_
_atom_site_label
_atom_site_type_symbol
_atom_site_fract_x
_atom_site_fract_y
_atom_site_fract_z
In1 In 0.0000 0.0000 0.0523
In2 In 0.0000 0.0000 0.1574
In3 In 0.0000 0.0000 0.3308
Cu1 Cu 0.0000 0.0000 0.5000
Cu2 Cu 0.0044 0.5022 0.0904
# Size of the total moment in μB/cell: 0.000
# Energy relative to the elements in kJ/mol of atoms: 7.16
# VASP energy in eV/atom: -23.519

---

No. 7
# InCu2Ir (meta-GGA SCAN, PBEsol geometry)
data_InCu2Ir
_space_group_name_H-M_alt 'P 4 m m'
_space_group_IT_number 99
_space_group_name_Hall 'P 4 -2'
_cell_length_a 3.047
_cell_length_b 3.047
_cell_length_c 6.079
_cell_angle_alpha 90.00
_cell_angle_beta 90.00
_cell_angle_gamma 90.00
loop_
_atom_site_label
_atom_site_type_symbol
_atom_site_fract_x
_atom_site_fract_y
_atom_site_fract_z
In1 In 0.000 0.000 0.000
Cu1 Cu 0.000 0.000 0.524
Cu2 Cu 0.500 0.500 0.720
Ir1 Ir 0.500 0.500 0.280
# Size of the total moment in μB/cell: 0.000
# Energy relative to the elements in kJ/mol of atoms: 7.38
# VASP energy in eV/atom: -33.645

---

No. 8
# InCuIr (meta-GGA SCAN, PBEsol geometry)
data_InCuIr
_space_group_name_H-M_alt 'I 4 m m'
_space_group_IT_number 107
_space_group_name_Hall 'I 4 -2'
_cell_length_a 3.149
_cell_length_b 3.149
_cell_length_c 9.052
_cell_angle_alpha 90.00
_cell_angle_beta 90.00
_cell_angle_gamma 90.00
loop_
_atom_site_label
_atom_site_type_symbol
_atom_site_fract_x
_atom_site_fract_y
_atom_site_fract_z
In1 In 0.000 0.000 0.000
Cu1 Cu 0.000 0.000 0.332
Ir1 Ir 0.000 0.000 0.679
# Size of the total moment in μB/cell: 0.000
# Energy relative to the elements in kJ/mol of atoms: 6.93
# VASP energy in eV/atom: -39.823